Here is an optimized crystal structure of Ac2PmPr4Dy from Alexandria via LeMat-Bulk. Energies are from PBE.

Properties
Theoretical density: 7.36 g/cm3
Space-group type: P2/m (10)
Magnetization: 0.000 μB per atom
E_form: 0.2 eV/f.u.

Unit cell a=3.7772 b=6.4340 c=12.5149 alpha=79.54 beta=90.00 gamma=90.00
With the nearest neighbours (Å) after each atom.
Fractional positions:
Ac 0.0000 0.0000 0.0000  4 Pm 3.73, 6 Pr 3.77-3.80, 2 Ac 3.78
Ac 0.5000 0.0000 0.5000  4 Dy 3.73, 6 Pr 3.74-3.78, 2 Ac 3.78
Pm 0.5000 0.5000 0.0000  4 Ac 3.73, 6 Pr 3.74-3.80, 2 Pm 3.78
Pr 0.0000 0.7451 0.7513  6 Pr 3.69-3.78, 2 Pm 3.74, 1 Dy 3.77, 3 Ac 3.77-3.78
Pr 0.0000 0.2549 0.2487  6 Pr 3.69-3.78, 2 Pm 3.74, 1 Dy 3.77, 3 Ac 3.77-3.78
Pr 0.5000 0.7463 0.2538  6 Pr 3.69-3.78, 2 Dy 3.71, 3 Ac 3.74-3.80, 1 Pm 3.80
Pr 0.5000 0.2537 0.7462  6 Pr 3.69-3.78, 2 Dy 3.71, 3 Ac 3.74-3.80, 1 Pm 3.80
Dy 0.0000 0.5000 0.5000  6 Pr 3.71-3.77, 4 Ac 3.73, 2 Dy 3.78



Here is an optimized crystal structure of LaS2BrN from Alexandria via LeMat-Bulk. Energies are from PBE.

Properties
E: -4.193 eV/atom
Theoretical density: 3.26 g/cm3
Space-group type: P4/mmm (123)
Magnetization: 0.835 μB per atom

Unit cell a=5.9073 b=5.9073 c=4.3309 alpha=90.00 beta=90.00 gamma=90.00
With the nearest neighbours (Å) after each atom.
Fractional positions:
S 0.0000 0.5000 0.0000  2 La 2.95
S 0.5000 0.0000 0.0000  2 La 2.95
N 0.0000 0.0000 0.5000  2 La 2.17
Br 0.5000 0.5000 0.5000  8 S 3.66
La 0.0000 0.0000 0.0000  2 N 2.17



Please write out number 1 again, unchanged.
Here is an optimized crystal structure of Ac2PmPr4Dy from Alexandria via LeMat-Bulk. Energies are from PBE.

Properties
Theoretical density: 7.36 g/cm3
Space-group type: P2/m (10)
Magnetization: 0.000 μB per atom
E_form: 0.2 eV/f.u.

Unit cell a=3.7772 b=6.4340 c=12.5149 alpha=79.54 beta=90.00 gamma=90.00
With the nearest neighbours (Å) after each atom.
Fractional positions:
Ac 0.0000 0.0000 0.0000  4 Pm 3.73, 6 Pr 3.77-3.80, 2 Ac 3.78
Ac 0.5000 0.0000 0.5000  4 Dy 3.73, 6 Pr 3.74-3.78, 2 Ac 3.78
Pm 0.5000 0.5000 0.0000  4 Ac 3.73, 6 Pr 3.74-3.80, 2 Pm 3.78
Pr 0.0000 0.7451 0.7513  6 Pr 3.69-3.78, 2 Pm 3.74, 1 Dy 3.77, 3 Ac 3.77-3.78
Pr 0.0000 0.2549 0.2487  6 Pr 3.69-3.78, 2 Pm 3.74, 1 Dy 3.77, 3 Ac 3.77-3.78
Pr 0.5000 0.7463 0.2538  6 Pr 3.69-3.78, 2 Dy 3.71, 3 Ac 3.74-3.80, 1 Pm 3.80
Pr 0.5000 0.2537 0.7462  6 Pr 3.69-3.78, 2 Dy 3.71, 3 Ac 3.74-3.80, 1 Pm 3.80
Dy 0.0000 0.5000 0.5000  6 Pr 3.71-3.77, 4 Ac 3.73, 2 Dy 3.78